Version a
HgRhS after structural relaxation, computed with PBE.

The value obtained for the volume is 58 Å³ per cell.

```
data_HgRhS
_space_group_name_H-M_alt 'P 3 m 1'
_space_group_IT_number 156
_cell_length_a 3.3185
_cell_length_b 3.3185
_cell_length_c 6.0414
_cell_angle_alpha 90.00
_cell_angle_beta 90.00
_cell_angle_gamma 120.00
loop_
_space_group_symop_operation_xyz
'x,y,z'
'-y,x-y,z'
'-x+y,-x,z'
'-y,-x,z'
'-x+y,y,z'
'x,x-y,z'
loop_
_atom_site_label
_atom_site_type_symbol
_atom_site_fract_x
_atom_site_fract_y
_atom_site_fract_z
Hg1 Hg 0.0000 0.0000 0.0000
Rh1 Rh 0.6667 0.3333 0.3699
S1 S 0.3333 0.6667 0.5743
```


Version b
HgRhS after structural relaxation, computed with PBE.

The value obtained for the volume is 116 Å³ per cell.

```
data_HgRhS
_space_group_name_H-M_alt 'P 1 21/m 1'
_space_group_IT_number 11
_cell_length_a 6.0028
_cell_length_b 3.3005
_cell_length_c 6.0476
_cell_angle_alpha 90.00
_cell_angle_beta 103.68
_cell_angle_gamma 90.00
loop_
_space_group_symop_operation_xyz
'x,y,z'
'-x,-y,-z'
'-x,y+1/2,-z'
'x,-y+1/2,z'
loop_
_atom_site_label
_atom_site_type_symbol
_atom_site_fract_x
_atom_site_fract_y
_atom_site_fract_z
Hg1 Hg 0.1671 0.2500 0.3502
Rh1 Rh 0.2388 0.7500 0.9920
S1 S 0.3677 0.2500 0.7908
```


version a is favored, and the nearest alternative lies 0.036 eV/atom above it.


Version a
Sc4HgRh after structural relaxation, computed with PBE.

The value obtained for the volume is 2045 Å³ per cell.

```
data_Sc4HgRh
_space_group_name_H-M_alt 'F -4 3 m'
_space_group_IT_number 216
_space_group_name_Hall 'F -4 2 3'
_cell_length_a 12.6933
_cell_length_b 12.6933
_cell_length_c 12.6933
_cell_angle_alpha 90.00
_cell_angle_beta 90.00
_cell_angle_gamma 90.00
loop_
_atom_site_label
_atom_site_type_symbol
_atom_site_fract_x
_atom_site_fract_y
_atom_site_fract_z
Sc1 Sc 0.0000 0.0000 0.1870
Sc2 Sc 0.0625 0.2500 0.2500
Sc3 Sc 0.1057 0.1057 0.6057
Hg1 Hg 0.1630 0.1630 0.8370
Rh1 Rh 0.1044 0.1044 0.3956
```


Version b
Sc4HgRh after structural relaxation, computed with PBE.

The value obtained for the volume is 492 Å³ per cell.

```
data_Sc4HgRh
_space_group_name_H-M_alt 'F -4 3 m'
_space_group_IT_number 216
_space_group_name_Hall 'F -4 2 3'
_cell_length_a 7.8965
_cell_length_b 7.8965
_cell_length_c 7.8965
_cell_angle_alpha 90.00
_cell_angle_beta 90.00
_cell_angle_gamma 90.00
loop_
_atom_site_label
_atom_site_type_symbol
_atom_site_fract_x
_atom_site_fract_y
_atom_site_fract_z
Sc1 Sc 0.1237 0.1237 0.3763
Hg1 Hg 0.0000 0.0000 0.0000
Rh1 Rh 0.2500 0.2500 0.7500
```


Version c
Sc4HgRh after structural relaxation, computed with PBE.

The value obtained for the volume is 285 Å³ per cell.

```
data_Sc4HgRh
_space_group_name_H-M_alt 'C 1 2/m 1'
_space_group_IT_number 12
_cell_length_a 6.4981
_cell_length_b 6.4982
_cell_length_c 6.7603
_cell_angle_alpha 90.00
_cell_angle_beta 90.11
_cell_angle_gamma 90.00
loop_
_space_group_symop_operation_xyz
'x,y,z'
'-x,-y,-z'
'-x,y,-z'
'x,-y,z'
'x+1/2,y+1/2,z'
'-x+1/2,-y+1/2,-z'
'-x+1/2,y+1/2,-z'
'x+1/2,-y+1/2,z'
loop_
_atom_site_label
_atom_site_type_symbol
_atom_site_fract_x
_atom_site_fract_y
_atom_site_fract_z
Sc1 Sc 0.2496 0.2499 0.2289
Hg1 Hg 0.0000 0.0000 0.5000
Rh1 Rh 0.0000 0.5000 0.0000
```


version a is favored, and the nearest alternative lies 0.218 eV/atom above it.


Version a
TmScHgRh after structural relaxation, computed with PBE.

The value obtained for the volume is 83 Å³ per cell.

```
data_TmScHgRh
_space_group_name_H-M_alt 'P 4 m m'
_space_group_IT_number 99
_cell_length_a 3.3773
_cell_length_b 3.3773
_cell_length_c 7.2544
_cell_angle_alpha 90.00
_cell_angle_beta 90.00
_cell_angle_gamma 90.00
loop_
_space_group_symop_operation_xyz
'x,y,z'
'-y,x,z'
'-x,-y,z'
'y,-x,z'
'-x,y,z'
'y,x,z'
'x,-y,z'
'-y,-x,z'
loop_
_atom_site_label
_atom_site_type_symbol
_atom_site_fract_x
_atom_site_fract_y
_atom_site_fract_z
Tm1 Tm 0.0000 0.0000 0.0000
Sc1 Sc 0.0000 0.0000 0.5592
Hg1 Hg 0.5000 0.5000 0.2966
Rh1 Rh 0.5000 0.5000 0.7649
```


Version b
TmScHgRh after structural relaxation, computed with PBE.

The value obtained for the volume is 329 Å³ per cell.

```
data_TmScHgRh
_space_group_name_H-M_alt 'F -4 3 m'
_space_group_IT_number 216
_space_group_name_Hall 'F -4 2 3'
_cell_length_a 6.9068
_cell_length_b 6.9068
_cell_length_c 6.9068
_cell_angle_alpha 90.00
_cell_angle_beta 90.00
_cell_angle_gamma 90.00
loop_
_atom_site_label
_atom_site_type_symbol
_atom_site_fract_x
_atom_site_fract_y
_atom_site_fract_z
Tm1 Tm 0.0000 0.0000 0.0000
Sc1 Sc 0.0000 0.0000 0.5000
Hg1 Hg 0.2500 0.2500 0.7500
Rh1 Rh 0.2500 0.2500 0.2500
```


version a is favored, and the nearest alternative lies 0.103 eV/atom above it.


Version a
SiHg3Rh after structural relaxation, computed with PBE.

The value obtained for the volume is 122 Å³ per cell.

```
data_SiHg3Rh
_space_group_name_H-M_alt 'P m -3 m'
_space_group_IT_number 221
_space_group_name_Hall '-P 4 2 3'
_cell_length_a 4.9553
_cell_length_b 4.9553
_cell_length_c 4.9553
_cell_angle_alpha 90.00
_cell_angle_beta 90.00
_cell_angle_gamma 90.00
loop_
_atom_site_label
_atom_site_type_symbol
_atom_site_fract_x
_atom_site_fract_y
_atom_site_fract_z
Si1 Si 0.0000 0.0000 0.0000
Hg1 Hg 0.0000 0.0000 0.5000
Rh1 Rh 0.5000 0.5000 0.5000
```


Version b
SiHg3Rh after structural relaxation, computed with PBE.

The value obtained for the volume is 138 Å³ per cell.

```
data_SiHg3Rh
_space_group_name_H-M_alt 'P m -3 m'
_space_group_IT_number 221
_space_group_name_Hall '-P 4 2 3'
_cell_length_a 5.1683
_cell_length_b 5.1683
_cell_length_c 5.1683
_cell_angle_alpha 90.00
_cell_angle_beta 90.00
_cell_angle_gamma 90.00
loop_
_atom_site_label
_atom_site_type_symbol
_atom_site_fract_x
_atom_site_fract_y
_atom_site_fract_z
Si1 Si 0.0000 0.0000 0.0000
Hg1 Hg 0.0000 0.5000 0.5000
Rh1 Rh 0.5000 0.5000 0.5000
```


version b is favored, and the nearest alternative lies 0.126 eV/atom above it.


Version a
Si2HgRh2 after structural relaxation, computed with PBE.

The value obtained for the volume is 151 Å³ per cell.

```
data_Si2HgRh2
_space_group_name_H-M_alt 'P 4/m b m'
_space_group_IT_number 127
_space_group_name_Hall '-P 4 2ab'
_cell_length_a 7.3555
_cell_length_b 7.3555
_cell_length_c 2.7938
_cell_angle_alpha 90.00
_cell_angle_beta 90.00
_cell_angle_gamma 90.00
loop_
_atom_site_label
_atom_site_type_symbol
_atom_site_fract_x
_atom_site_fract_y
_atom_site_fract_z
Si1 Si 0.1432 0.3568 0.0000
Hg1 Hg 0.0000 0.0000 0.0000
Rh1 Rh 0.1425 0.6425 0.5000
```


Version b
Si2HgRh2 after structural relaxation, computed with PBE.

The value obtained for the volume is 160 Å³ per cell.

```
data_Si2HgRh2
_space_group_name_H-M_alt 'I 4/m m m'
_space_group_IT_number 139
_space_group_name_Hall '-I 4 2'
_cell_length_a 3.6542
_cell_length_b 3.6542
_cell_length_c 11.9559
_cell_angle_alpha 90.00
_cell_angle_beta 90.00
_cell_angle_gamma 90.00
loop_
_atom_site_label
_atom_site_type_symbol
_atom_site_fract_x
_atom_site_fract_y
_atom_site_fract_z
Si1 Si 0.0000 0.5000 0.2500
Hg1 Hg 0.0000 0.0000 0.0000
Rh1 Rh 0.0000 0.0000 0.3780
```


version b is favored, and the nearest alternative lies 0.189 eV/atom above it.


Version a
SiHgRh3 after structural relaxation, computed with PBE.

The value obtained for the volume is 117 Å³ per cell.

```
data_SiHgRh3
_space_group_name_H-M_alt 'P m -3 m'
_space_group_IT_number 221
_space_group_name_Hall '-P 4 2 3'
_cell_length_a 4.8922
_cell_length_b 4.8922
_cell_length_c 4.8922
_cell_angle_alpha 90.00
_cell_angle_beta 90.00
_cell_angle_gamma 90.00
loop_
_atom_site_label
_atom_site_type_symbol
_atom_site_fract_x
_atom_site_fract_y
_atom_site_fract_z
Si1 Si 0.0000 0.0000 0.0000
Hg1 Hg 0.5000 0.5000 0.5000
Rh1 Rh 0.0000 0.5000 0.5000
```


Version b
SiHgRh3 after structural relaxation, computed with PBE.

The value obtained for the volume is 87 Å³ per cell.

```
data_SiHgRh3
_space_group_name_H-M_alt 'P m -3 m'
_space_group_IT_number 221
_space_group_name_Hall '-P 4 2 3'
_cell_length_a 4.4381
_cell_length_b 4.4381
_cell_length_c 4.4381
_cell_angle_alpha 90.00
_cell_angle_beta 90.00
_cell_angle_gamma 90.00
loop_
_atom_site_label
_atom_site_type_symbol
_atom_site_fract_x
_atom_site_fract_y
_atom_site_fract_z
Si1 Si 0.0000 0.0000 0.0000
Hg1 Hg 0.5000 0.5000 0.5000
Rh1 Rh 0.0000 0.0000 0.5000
```


version b is favored, and the nearest alternative lies 1.722 eV/atom above it.